# 1
Rb2CeS2I2: optimized geometry, PBE.

Cell: 10.1479 10.1479 10.1479 Å, 149.36 149.36 43.88°
Closest atoms and distances in Å follow each position.
Fractional positions:
Rb 0.1254 0.1254 0.0000  4 S 3.57, 5 I 3.87-3.89
Rb 0.8746 0.8746 0.0000  4 S 3.57, 5 I 3.87-3.89
Ce 0.5000 0.5000 0.0000  4 S 2.68
S 0.0000 0.5000 0.5000  2 Ce 2.68
S 0.5000 0.0000 0.5000  2 Ce 2.68
I 0.3321 0.3321 0.0000  1 Ce 3.16
I 0.6679 0.6679 0.0000  1 Ce 3.16

Computed properties:
For the uncorrected formation energy, the calculation gives -1.539 eV per atom.

# 2
Pr3Sb5S12: optimized geometry, PBE.

Cell: 14.1899 14.1899 14.1899 Å, 109.47 109.47 109.47°
Closest atoms and distances in Å follow each position.
Fractional positions:
Pr 0.1250 0.2500 0.3750  8 S 3.04-3.06
Pr 0.1250 0.3750 0.7500  8 S 3.04-3.06
Pr 0.2500 0.3750 0.1250  8 S 3.04-3.06
Pr 0.2500 0.8750 0.6250  8 S 3.04-3.06
Pr 0.3750 0.1250 0.2500  8 S 3.04-3.06
Pr 0.3750 0.7500 0.1250  8 S 3.04-3.06
Pr 0.6250 0.2500 0.8750  8 S 3.04-3.06
Pr 0.6250 0.8750 0.7500  8 S 3.04-3.06
Pr 0.7500 0.1250 0.3750  8 S 3.04-3.06
Pr 0.7500 0.6250 0.8750  8 S 3.04-3.06
Pr 0.8750 0.6250 0.2500  8 S 3.04-3.06
Pr 0.8750 0.7500 0.6250  8 S 3.04-3.06
Sb 0.0000 0.0000 0.0000  6 S 2.74
Sb 0.0000 0.0000 0.5000  6 S 2.74
Sb 0.0000 0.5000 0.0000  6 S 2.74
Sb 0.0000 0.5000 0.5000  6 S 2.74
Sb 0.1250 0.7500 0.8750  4 S 2.61
Sb 0.1250 0.8750 0.2500  4 S 2.61
Sb 0.2500 0.1250 0.8750  4 S 2.61
Sb 0.2500 0.6250 0.3750  4 S 2.61
Sb 0.3750 0.2500 0.6250  4 S 2.61
Sb 0.3750 0.6250 0.7500  4 S 2.61
Sb 0.5000 0.0000 0.0000  6 S 2.74
Sb 0.5000 0.0000 0.5000  6 S 2.74
Sb 0.5000 0.5000 0.0000  6 S 2.74
Sb 0.5000 0.5000 0.5000  6 S 2.74
Sb 0.6250 0.3750 0.2500  4 S 2.61
Sb 0.6250 0.7500 0.3750  4 S 2.61
Sb 0.7500 0.3750 0.6250  4 S 2.61
Sb 0.7500 0.8750 0.1250  4 S 2.61
Sb 0.8750 0.1250 0.7500  4 S 2.61
Sb 0.8750 0.2500 0.1250  4 S 2.61
S 0.0481 0.2187 0.1345  2 Sb 2.61-2.74
S 0.0481 0.3294 0.9136  2 Sb 2.61-2.74
S 0.0842 0.7187 0.6706  2 Sb 2.61-2.74
S 0.0842 0.8655 0.4136  2 Sb 2.61-2.74
S 0.0864 0.6345 0.4158  2 Sb 2.61-2.74
S 0.0864 0.9519 0.6706  2 Sb 2.61-2.74
S 0.1345 0.0481 0.2187  2 Sb 2.61-2.74
S 0.1345 0.5864 0.9158  2 Sb 2.61-2.74
S 0.1706 0.2187 0.5842  2 Sb 2.61-2.74
S 0.1706 0.4519 0.5864  2 Sb 2.61-2.74
S 0.2187 0.1345 0.0481  2 Sb 2.61-2.74
S 0.2187 0.5842 0.1706  2 Sb 2.61-2.74
S 0.2813 0.3294 0.9158  2 Sb 2.61-2.74
S 0.2813 0.4519 0.3655  2 Sb 2.61-2.74
S 0.3294 0.9136 0.0481  2 Sb 2.61-2.74
S 0.3294 0.9158 0.2813  2 Sb 2.61-2.74
S 0.3655 0.2813 0.4519  2 Sb 2.61-2.74
S 0.3655 0.5842 0.9136  2 Sb 2.61-2.74
S 0.4136 0.0842 0.8655  2 Sb 2.61-2.74
S 0.4136 0.8294 0.5481  2 Sb 2.61-2.74
S 0.4158 0.0864 0.6345  2 Sb 2.61-2.74
S 0.4158 0.8294 0.7813  2 Sb 2.61-2.74
S 0.4519 0.3655 0.2813  2 Sb 2.61-2.74
S 0.4519 0.5864 0.1706  2 Sb 2.61-2.74
S 0.5481 0.4136 0.8294  2 Sb 2.61-2.74
S 0.5481 0.6345 0.7187  2 Sb 2.61-2.74
S 0.5842 0.1706 0.2187  2 Sb 2.61-2.74
S 0.5842 0.9136 0.3655  2 Sb 2.61-2.74
S 0.5864 0.1706 0.4519  2 Sb 2.61-2.74
S 0.5864 0.9158 0.1345  2 Sb 2.61-2.74
S 0.6345 0.4158 0.0864  2 Sb 2.61-2.74
S 0.6345 0.7187 0.5481  2 Sb 2.61-2.74
S 0.6706 0.0842 0.7187  2 Sb 2.61-2.74
S 0.6706 0.0864 0.9519  2 Sb 2.61-2.74
S 0.7187 0.5481 0.6345  2 Sb 2.61-2.74
S 0.7187 0.6706 0.0842  2 Sb 2.61-2.74
S 0.7813 0.4158 0.8294  2 Sb 2.61-2.74
S 0.7813 0.8655 0.9519  2 Sb 2.61-2.74
S 0.8294 0.5481 0.4136  2 Sb 2.61-2.74
S 0.8294 0.7813 0.4158  2 Sb 2.61-2.74
S 0.8655 0.4136 0.0842  2 Sb 2.61-2.74
S 0.8655 0.9519 0.7813  2 Sb 2.61-2.74
S 0.9136 0.0481 0.3294  2 Sb 2.61-2.74
S 0.9136 0.3655 0.5842  2 Sb 2.61-2.74
S 0.9158 0.1345 0.5864  2 Sb 2.61-2.74
S 0.9158 0.2813 0.3294  2 Sb 2.61-2.74
S 0.9519 0.6706 0.0864  2 Sb 2.61-2.74
S 0.9519 0.7813 0.8655  2 Sb 2.61-2.74

Computed properties:
For the uncorrected formation energy, the calculation gives -0.783 eV per atom.

# 3
HoTl2F4: optimized geometry, PBE.

Cell: 9.1709 9.1709 9.1709 Å, 152.11 152.11 39.86°
Closest atoms and distances in Å follow each position.
Fractional positions:
Ho 0.0000 0.0000 0.0000  6 F 2.15-2.21
Tl 0.2674 0.2674 0.0000  1 F 2.46
Tl 0.7326 0.7326 0.0000  1 F 2.46
F 0.0000 0.5000 0.5000  2 Ho 2.21
F 0.1249 0.1249 0.0000  1 Ho 2.15
F 0.5000 0.0000 0.5000  2 Ho 2.21
F 0.8751 0.8751 0.0000  1 Ho 2.15

Computed properties:
For the uncorrected formation energy, the calculation gives -2.771 eV per atom. The value obtained for the density of states at the Fermi level is 0.235 states/eV per atom.

# 4
BaSiMo2: optimized geometry, PBE.

Cell: 5.5469 5.5469 2.7998 Å, 90.00 90.00 112.37°
Closest atoms and distances in Å follow each position.
Fractional positions:
Ba 0.0000 0.0000 0.0000  2 Ba 2.80, 2 Si 3.09, 8 Mo 3.11
Si 0.5000 0.5000 0.0000  2 Si 2.80, 2 Ba 3.09, 8 Mo 3.11
Mo 0.0000 0.5000 0.5000  4 Mo 2.80-3.09, 4 Ba 3.11, 4 Si 3.11
Mo 0.5000 0.0000 0.5000  4 Mo 2.80-3.09, 4 Ba 3.11, 4 Si 3.11

Computed properties:
For the uncorrected formation energy, the calculation gives 1.314 eV per atom. The value obtained for the density of states at the Fermi level is 0.949 states/eV per atom.

# 5
InPtSN2: optimized geometry, PBE.

Cell: 3.7656 3.7656 7.9865 Å, 90.00 90.00 90.00°
Closest atoms and distances in Å follow each position.
Fractional positions:
In 0.0000 0.0000 0.0000  4 S 2.66
Pt 0.5000 0.5000 0.5000  4 N 1.88
S 0.5000 0.5000 0.0000  4 In 2.66
N 0.0000 0.5000 0.5000  2 Pt 1.88
N 0.5000 0.0000 0.5000  2 Pt 1.88

Computed properties:
For the uncorrected formation energy, the calculation gives 0.898 eV per atom. The value obtained for the density of states at the Fermi level is 0.636 states/eV per atom. The relative energy among the computed polymorphs comes out at 0 meV/atom.

# 6
RbPuCdTe3: optimized geometry, PBE.

Cell: 9.7796 4.5995 10.9957 Å, 90.00 108.66 90.00°
Closest atoms and distances in Å follow each position.
Fractional positions:
Rb 0.2182 0.2500 0.2439  7 Te 3.70-3.99
Rb 0.7818 0.7500 0.7561  7 Te 3.70-3.99
Pu 0.3241 0.7500 0.8597  6 Te 3.10-3.31
Pu 0.6759 0.2500 0.1403  6 Te 3.10-3.31
Cd 0.0858 0.2500 0.6106  4 Te 2.81-2.98
Cd 0.9142 0.7500 0.3894  4 Te 2.81-2.98
Te 0.1061 0.2500 0.8714  1 Cd 2.81
Te 0.2268 0.7500 0.5428  3 Cd 2.90-2.98
Te 0.4673 0.7500 0.1550  3 Pu 3.10-3.11
Te 0.5327 0.2500 0.8450  3 Pu 3.10-3.11
Te 0.7732 0.2500 0.4572  3 Cd 2.90-2.98
Te 0.8939 0.7500 0.1286  1 Cd 2.81

Computed properties:
For the uncorrected formation energy, the calculation gives -0.873 eV per atom. The value obtained for the density of states at the Fermi level is 2.214 states/eV per atom.

# 7
Tl2ZnGaRh: optimized geometry, PBE.

Cell: 5.2375 5.2375 4.7365 Å, 90.00 90.00 90.00°
Closest atoms and distances in Å follow each position.
Fractional positions:
Tl 0.0000 0.5000 0.0000  2 Zn 2.62
Tl 0.5000 0.0000 0.0000  2 Zn 2.62
Zn 0.0000 0.0000 0.0000  2 Rh 2.37, 4 Tl 2.62
Ga 0.5000 0.5000 0.5000  8 Tl 3.53, 4 Rh 3.70
Rh 0.0000 0.0000 0.5000  2 Zn 2.37

Computed properties:
The value obtained for the density of states at the Fermi level is 0.671 states/eV per atom. The electronic total energy is -2.706 eV/atom.

# 8
Li4BiPd3: optimized geometry, PBE.

Cell: 8.5496 8.5496 4.3391 Å, 104.50 104.50 25.26°
Closest atoms and distances in Å follow each position.
Fractional positions:
Li 0.1265 0.1265 0.1255  4 Li 2.69-3.00, 6 Pd 2.77-2.87, 2 Bi 2.98
Li 0.2539 0.2539 0.7541  4 Pd 2.67-2.81, 7 Li 2.69-2.98
Li 0.7461 0.7461 0.2459  4 Pd 2.67-2.81, 7 Li 2.69-2.98
Li 0.8735 0.8735 0.8745  4 Li 2.69-3.00, 6 Pd 2.77-2.87, 2 Bi 2.98
Bi 0.0000 0.0000 0.5000  8 Pd 2.86-2.88, 4 Li 2.98
Pd 0.3643 0.3643 0.3648  8 Li 2.67-2.87, 2 Bi 2.88
Pd 0.5000 0.5000 0.0000  4 Li 2.77, 4 Bi 2.86, 4 Pd 3.08-3.09
Pd 0.6357 0.6357 0.6352  8 Li 2.67-2.87, 2 Bi 2.88

Computed properties:
The value obtained for the density of states at the Fermi level is 0.490 states/eV per atom. The relative energy among the computed polymorphs comes out at 0 meV/atom.